Below is a relaxed Zn2SiPt8 crystal, with properties calculated at the PBE level.

abc: 4.1610 7.3170 6.9868
angles: 121.58 107.32 90.00
Sites, in units of the cell vectors:
Zn  0.1963  0.6963  0.3925
Zn  0.8037  0.3037  0.6075
Si  0.5000  0.0000  0.0000
Pt  0.6544  0.8855  0.3088
Pt  0.3456  0.5767  0.6912
Pt  0.1328  0.1328  0.2657
Pt  0.0000  0.3178  0.0000
Pt  0.8672  0.8672  0.7343
Pt  0.6544  0.4233  0.3088
Pt  0.3456  0.1145  0.6912
Pt  0.0000  0.6822  0.0000

Calculated values
Calculated volume in Å³/atom: 15.4
Energy relative to the lowest polymorph listed for this composition in eV/f.u.: 0.60
Formation energy without anion corrections in meV/atom: -309
Energy in eV for the cell shown: -59.7
DOS(E_F) in states/eV per cell: 6.51